Here is an optimized crystal structure of DyGa2Rh from Alexandria. Energies are from PBE.

Values from the calculation:
For the volume, the calculation gives 70.1 Å³/cell. The value obtained for the formation energy is -0.63 eV/atom.

```
4
Lattice="4.629 0.000 0.000 2.314 4.008 0.000 2.314 1.336 3.779" Properties=species:S:1:pos:R:3 pbc="T T T"
Ga 6.943 4.008 2.834
Ga 2.314 1.336 0.945
Rh 4.629 2.672 1.890
Dy 0.000 0.000 0.000
```

***

Here is an optimized crystal structure of Dy3Ga2Rh2 from Alexandria. Energies are from PBE.

Values from the calculation:
For the volume, the calculation gives 590.2 Å³/cell. The value obtained for the formation energy is -0.83 eV/atom.

```
28
Lattice="-2.015 -2.837 -4.299 1.288 -6.696 3.815 -12.519 0.679 5.419" Properties=species:S:1:pos:R:3 pbc="T T T"
Dy -4.567 -4.163 3.804
Dy -12.480 -4.484 2.776
Dy -3.451 -6.526 1.452
Dy -6.634 -6.066 6.028
Dy -6.612 -2.788 -1.093
Dy -3.577 -2.448 0.650
Dy -2.811 -2.994 -2.738
Dy -10.435 -5.860 7.674
Dy -9.795 -2.328 3.484
Dy -9.669 -6.405 4.286
Dy -8.679 -4.691 1.131
Dy -0.766 -4.369 2.159
Rh -12.612 -1.461 2.286
Rh -0.634 -7.392 2.649
Rh -11.384 -3.987 5.440
Rh -1.862 -4.867 -0.504
Rh -4.575 -7.179 4.355
Rh -8.670 -1.675 0.580
Rh -5.804 -4.653 1.202
Rh -7.442 -4.201 3.734
Ga -2.236 -6.122 4.207
Ga -6.653 -2.343 2.136
Ga -6.592 -6.511 2.800
Ga -0.394 -2.682 -0.574
Ga -11.009 -2.732 0.728
Ga -8.849 -3.946 5.870
Ga -4.396 -4.908 -0.935
Ga -0.332 -6.851 0.090
```

***

Here is an optimized crystal structure of DyGa4Rh2 from Alexandria. Energies are from PBE.

Values from the calculation:
For the volume, the calculation gives 470.8 Å³/cell. The value obtained for the formation energy is -0.72 eV/atom.

```
28
Lattice="4.180 0.000 0.000 0.000 6.801 0.000 0.000 0.000 16.562" Properties=species:S:1:pos:R:3 pbc="T T T"
Ga 1.045 0.846 2.901
Ga 3.135 2.118 13.113
Ga 3.135 5.844 7.892
Ga 1.045 2.555 11.183
Ga 1.045 4.683 3.449
Ga 1.045 5.518 11.730
Ga 1.045 6.776 15.670
Ga 3.135 4.357 16.173
Ga 1.045 0.957 8.670
Ga 1.045 3.426 7.389
Ga 3.135 5.955 13.661
Ga 3.135 0.025 0.892
Ga 3.135 3.375 9.174
Ga 3.135 4.246 5.380
Ga 1.045 2.444 0.389
Ga 3.135 1.283 4.832
Rh 3.135 4.088 11.504
Rh 1.045 0.687 13.339
Rh 1.045 5.041 0.966
Rh 1.045 5.161 9.247
Rh 1.045 2.713 5.058
Rh 3.135 6.114 3.223
Rh 3.135 1.640 7.315
Rh 3.135 1.760 15.596
Dy 1.045 6.343 5.922
Dy 3.135 2.942 2.359
Dy 3.135 0.458 10.640
Dy 1.045 3.859 14.203
```

***

Here is an optimized crystal structure of DyGa9Rh2 from Alexandria. Energies are from PBE.

Values from the calculation:
For the volume, the calculation gives 413.8 Å³/cell. The value obtained for the formation energy is -0.35 eV/atom.

```
24
Lattice="6.032 0.000 2.777 3.016 7.846 1.389 -0.306 0.000 8.604" Properties=species:S:1:pos:R:3 pbc="T T T"
Ga 1.953 0.568 6.956
Ga 4.017 5.419 2.452
Ga 3.233 7.278 4.175
Ga 4.878 6.350 6.015
Ga 4.420 1.496 7.010
Ga 5.879 3.923 7.079
Ga 1.306 1.496 4.371
Ga 3.774 0.568 4.424
Ga 5.662 4.491 4.292
Ga 7.742 5.419 11.706
Ga 2.106 3.355 2.655
Ga 6.096 4.491 9.866
Ga 4.573 2.427 2.708
Ga 1.153 2.427 8.672
Ga 8.526 7.278 9.982
Ga 6.880 6.350 8.142
Ga 3.621 3.355 8.726
Ga 2.710 7.846 9.992
Rh 5.803 1.962 9.230
Rh 5.956 1.962 4.928
Rh 4.295 5.885 8.535
Rh 7.464 5.885 5.622
Dy 2.863 3.923 5.690
Dy 5.727 7.846 11.381
```

***

Here is an optimized crystal structure of Dy8Ga2Rh from Alexandria. Energies are from PBE.

Values from the calculation:
For the volume, the calculation gives 291.6 Å³/cell. The value obtained for the formation energy is -0.37 eV/atom.

```
11
Lattice="4.934 0.000 0.000 0.000 6.578 0.393 -2.467 -2.302 8.846" Properties=species:S:1:pos:R:3 pbc="T T T"
Dy 0.000 -1.469 6.175
Dy 2.467 -0.731 8.510
Dy 2.467 3.142 5.409
Dy 0.000 1.135 3.830
Dy 2.467 5.745 3.064
Dy 2.467 2.591 1.776
Dy 0.000 1.686 7.464
Dy 0.000 5.007 0.729
Rh 2.467 0.000 0.000
Ga 2.467 0.156 5.596
Ga 0.000 4.121 3.643
```

***

Here is an optimized crystal structure of Dy3GaRh8 from Alexandria. Energies are from PBE.

Values from the calculation:
For the volume, the calculation gives 209.4 Å³/cell. The value obtained for the formation energy is -0.60 eV/atom.

```
12
Lattice="5.064 0.000 1.502 2.309 4.507 1.502 0.030 0.018 9.188" Properties=species:S:1:pos:R:3 pbc="T T T"
Dy 3.662 2.238 6.229
Dy 4.604 2.814 3.053
Dy 0.085 0.052 9.000
Rh 3.016 0.294 8.408
Rh 2.299 1.406 1.535
Rh 5.997 3.666 7.645
Rh 1.615 2.529 3.844
Rh 2.987 0.284 3.844
Rh 4.171 2.550 9.160
Rh 0.464 0.284 3.096
Rh 1.637 2.550 8.408
Ga 0.984 0.601 5.971
```

***

Here is an optimized crystal structure of Dy2GaRh3 from Alexandria. Energies are from PBE.

Values from the calculation:
For the volume, the calculation gives 108.2 Å³/cell. As for the relative energy among the computed polymorphs: 0 meV per atom. The value obtained for the formation energy is -0.88 eV/atom.

```
6
Lattice="4.669 -0.046 2.111 1.344 4.472 2.111 -0.063 -0.046 5.123" Properties=species:S:1:pos:R:3 pbc="T T T"
Rh -0.031 -0.023 2.562
Rh 0.672 2.236 1.055
Rh 2.334 -0.023 1.055
Dy 3.750 2.760 5.889
Dy 2.200 1.619 3.456
Ga 0.000 0.000 0.000
```

***

Here is an optimized crystal structure of DyGa2Rh4 from Alexandria. Energies are from PBE.

Values from the calculation:
For the volume, the calculation gives 117.5 Å³/cell. The value obtained for the formation energy is -0.43 eV/atom.

```
7
Lattice="5.052 0.059 -1.742 -2.501 4.342 -1.860 0.034 -0.059 5.344" Properties=species:S:1:pos:R:3 pbc="T T T"
Ga 1.276 2.200 -1.801
Ga 2.543 0.000 1.801
Rh 2.526 0.029 -0.871
Rh -1.251 2.171 -0.930
Rh 0.017 -0.029 2.672
Rh 1.292 2.171 0.871
Dy 0.000 0.000 0.000
```

***

Here is an optimized crystal structure of Dy2GaRh from Alexandria. Energies are from PBE.

Values from the calculation:
For the volume, the calculation gives 93.2 Å³/cell. The value obtained for the formation energy is -0.04 eV/atom.

```
4
Lattice="-1.928 2.479 -1.087 -3.259 -0.023 0.647 -0.118 5.702 8.136" Properties=species:S:1:pos:R:3 pbc="T T T"
Rh 0.000 0.000 0.000
Dy -0.538 4.429 5.977
Dy -4.767 3.728 1.720
Ga -2.652 4.079 3.848
```

***

Here is an optimized crystal structure of DyGa12Rh4 from Alexandria. Energies are from PBE.

Values from the calculation:
For the volume, the calculation gives 334.9 Å³/cell. The value obtained for the formation energy is -0.22 eV/atom.

```
17
Lattice="7.577 0.000 0.000 -2.526 7.144 0.000 -2.526 -3.572 6.187" Properties=species:S:1:pos:R:3 pbc="T T T"
Ga -0.012 -1.702 5.214
Ga 5.064 1.777 1.133
Ga -2.538 1.795 5.054
Ga 0.012 3.664 4.081
Ga -0.925 0.654 3.078
Ga 1.601 0.579 5.214
Ga 2.538 5.274 0.973
Ga 0.925 2.993 0.973
Ga 3.451 2.918 3.109
Ga 2.513 -0.092 2.106
Ga 4.127 -1.233 4.081
Ga -1.601 4.805 2.106
Rh -1.263 -1.786 3.093
Rh 3.789 0.000 0.000
Rh -1.263 3.572 0.000
Rh 1.263 1.786 3.093
Dy 0.000 0.000 0.000
```

***

Here is an optimized crystal structure of Dy2Ga5Rh3 from Alexandria. Energies are from PBE.

Values from the calculation:
For the volume, the calculation gives 357.1 Å³/cell. As for the relative energy among the computed polymorphs: 59 meV per atom. The value obtained for the formation energy is -0.75 eV/atom.

```
20
Lattice="-3.127 -2.487 -1.589 4.533 -3.183 -3.940 3.546 -6.917 9.669" Properties=species:S:1:pos:R:3 pbc="T T T"
Rh 2.652 -7.884 1.303
Rh 1.691 -6.495 6.842
Rh 4.686 -3.969 -3.010
Rh 1.266 -4.692 -0.967
Rh 2.441 -10.146 5.261
Rh 1.776 -4.336 3.293
Ga 3.372 -9.776 2.849
Ga 2.975 -5.809 -2.582
Ga 1.684 -2.884 1.202
Ga 3.791 -7.842 -1.006
Ga 3.409 -6.325 3.192
Ga 3.448 -7.812 5.444
Ga 0.674 -8.879 6.755
Ga 2.935 -2.765 -1.448
Ga 5.221 -7.655 1.706
Ga 1.037 -5.851 1.298
Dy 5.416 -10.279 5.432
Dy -0.226 -2.476 -1.499
Dy 0.668 -7.196 4.133
Dy 3.911 -5.130 0.332
```

***

Here is an optimized crystal structure of Dy3Ga3Rh2 from Alexandria. Energies are from PBE.

Values from the calculation:
For the volume, the calculation gives 659.4 Å³/cell. The value obtained for the formation energy is -0.79 eV/atom.

```
32
Lattice="5.539 0.000 0.000 0.000 7.809 0.000 0.000 0.000 15.245" Properties=species:S:1:pos:R:3 pbc="T T T"
Rh 4.837 0.842 5.940
Rh 0.702 6.966 9.305
Rh 3.472 4.747 5.940
Rh 3.472 4.747 1.682
Rh 4.837 0.842 1.682
Rh 2.067 3.062 9.305
Rh 0.702 6.966 13.563
Rh 2.067 3.062 13.563
Dy 4.902 4.196 13.589
Dy 0.637 3.612 5.967
Dy 2.132 7.517 1.656
Dy 4.902 4.196 9.279
Dy 3.480 2.563 3.811
Dy 0.711 1.342 11.434
Dy 2.058 5.246 11.434
Dy 0.637 3.612 1.656
Dy 2.132 7.517 5.967
Dy 4.828 6.467 3.811
Dy 3.407 0.292 13.589
Dy 3.407 0.292 9.279
Ga 4.828 6.476 11.434
Ga 2.205 5.311 8.157
Ga 2.205 5.311 14.711
Ga 4.974 6.402 0.534
Ga 3.334 2.498 0.534
Ga 2.059 5.237 3.811
Ga 4.974 6.402 7.088
Ga 0.565 1.407 14.711
Ga 0.565 1.407 8.157
Ga 3.334 2.498 7.088
Ga 0.711 1.333 3.811
Ga 3.480 2.572 11.434
```

***

DFT total energy per entry: -20.51, -161.62, -145.68, -101.54, -54.34, -82.87, -39.58, -43.10, -19.75, -74.15, -107.75, -175.51 eV for the cell shown
M_tot per entry: 0.0000, 0.0000, 0.0000, 0.0000, 0.0000, 0.0000, 0.0000, 0.0000, 0.0000, 0.0000, 0.0000, 0.0000 μB/atom